1.
{"formula": "Pa2FeNi3P4", "functional": "PBE-GGA", "state": "optimized geometry", "dos_ef_per_ev_cell": 8.9, "spacegroup": "P-4m2 (115)", "delta_e_f_ev_per_atom": -0.897, "lattice": [[-0.162, 1.843, 3.605], [-3.878, 0.967, -0.668], [-2.532, -7.563, 3.753]], "species": ["Ni", "Ni", "Ni", "Pa", "Pa", "P", "P", "P", "P", "Fe"], "fractional_positions": [[0.000, 0.000, 0.500], [0.000, 0.500, 0.114], [0.500, 0.000, 0.886], [0.000, 0.500, 0.751], [0.500, 0.000, 0.249], [0.500, 0.500, 0.000], [0.000, 0.500, 0.369], [0.000, 0.000, 0.000], [0.500, 0.000, 0.631], [0.500, 0.500, 0.500]]}



2.
{"formula": "LuThTlTc", "functional": "PBE-GGA", "state": "optimized geometry", "dos_ef_per_ev_cell": 2.6, "spacegroup": "F-43m (216)", "delta_e_f_ev_per_atom": -0.010, "lattice": [[5.159, 0.000, 0.000], [2.579, 4.468, 0.000], [2.579, 1.489, 4.212]], "species": ["Tl", "Lu", "Tc", "Th"], "fractional_positions": [[0.750, 0.750, 0.750], [0.000, 0.000, 0.000], [0.250, 0.250, 0.250], [0.500, 0.500, 0.500]]}



3.
{"formula": "Sm6ErTm3", "functional": "PBE-GGA", "state": "optimized geometry", "dos_ef_per_ev_cell": 27.2, "spacegroup": "Cmc2_1 (36)", "polymorph_energy_ev_per_atom": 0.000, "delta_e_f_ev_per_atom": 0.147, "lattice": [[-4.142, 0.614, -4.593], [-4.170, -9.947, 2.430], [-4.041, 9.073, 4.857]], "species": ["Sm", "Sm", "Sm", "Sm", "Sm", "Sm", "Sm", "Sm", "Sm", "Sm", "Sm", "Sm", "Tm", "Tm", "Tm", "Tm", "Tm", "Tm", "Er", "Er"], "fractional_positions": [[0.852, 0.945, 0.522], [0.649, 0.278, 0.722], [0.541, 0.288, 0.377], [0.541, 0.623, 0.712], [0.919, 0.042, 0.958], [0.419, 0.958, 0.042], [0.852, 0.478, 0.055], [0.149, 0.722, 0.278], [0.352, 0.055, 0.478], [0.352, 0.522, 0.945], [0.041, 0.712, 0.623], [0.041, 0.377, 0.288], [0.468, 0.945, 0.724], [0.968, 0.724, 0.945], [0.073, 0.388, 0.612], [0.573, 0.612, 0.388], [0.468, 0.276, 0.055], [0.968, 0.055, 0.276], [0.123, 0.200, 0.800], [0.623, 0.800, 0.200]]}



4.
{"formula": "TcGeH2", "functional": "PBE-GGA", "state": "optimized geometry", "dos_ef_per_ev_cell": 3.0, "spacegroup": "Fm-3m (225)", "polymorph_energy_ev_per_atom": 0.800, "lattice": [[0.000, 2.645, 2.645], [2.645, 0.000, 2.645], [2.645, 2.645, 0.000]], "species": ["Ge", "H", "H", "Tc"], "fractional_positions": [[0.000, 0.000, 0.000], [0.250, 0.250, 0.250], [0.750, 0.750, 0.750], [0.500, 0.500, 0.500]]}



Number 1: energy -75.4 eV for the cell shown. Number 2: energy -24.7 eV for the cell shown. Number 3: energy -89.6 eV for the cell shown. Number 4: energy -18.2 eV for the cell shown.